(1)
# Cs2NpS2O10 (SCAN, single point on PBEsol structure)
data_Cs2NpS2O10
_cell_length_a 8.975
_cell_length_b 10.825
_cell_length_c 11.759
_cell_angle_alpha 110.27
_cell_angle_beta 90.00
_cell_angle_gamma 90.00
_symmetry_space_group_name_H-M 'P 1'
_symmetry_Int_Tables_number 1
loop_
_symmetry_equiv_pos_as_xyz
'x,y,z'
loop_
_atom_site_label
_atom_site_fract_x
_atom_site_fract_y
_atom_site_fract_z
_atom_site_occupancy
Cs1 0.080 0.528 0.802 1
S1 0.254 0.416 0.438 1
S2 0.187 0.156 0.640 1
Np1 0.989 0.858 0.139 1
S3 0.746 0.584 0.562 1
Cs2 0.600 0.717 0.929 1
O1 0.913 0.698 0.056 1
O2 0.775 0.923 0.281 1
O3 0.113 0.844 0.966 1
O4 0.568 0.484 0.280 1
O5 0.413 0.802 0.444 1
Cs3 0.920 0.472 0.198 1
O6 0.688 0.451 0.557 1
O7 0.887 0.156 0.034 1
O8 0.932 0.984 0.780 1
O9 0.201 0.341 0.317 1
O10 0.307 0.579 0.012 1
O11 0.432 0.516 0.720 1
O12 0.534 0.292 0.820 1
O13 0.087 0.302 0.944 1
O14 0.812 0.951 0.057 1
O15 0.587 0.198 0.556 1
O16 0.613 0.656 0.534 1
O17 0.359 0.938 0.032 1
O18 0.966 0.792 0.320 1
O19 0.193 0.079 0.512 1
O20 0.710 0.728 0.329 1
O21 0.701 0.159 0.183 1
O22 0.693 0.421 0.988 1
O23 0.387 0.344 0.466 1
S4 0.813 0.844 0.360 1
S5 0.246 0.916 0.938 1
O24 0.725 0.423 0.781 1
S6 0.687 0.344 0.860 1
O25 0.225 0.077 0.719 1
O26 0.859 0.562 0.468 1
Cs4 0.400 0.283 0.071 1
Cs5 0.420 0.028 0.302 1
Np2 0.489 0.642 0.361 1
O27 0.210 0.772 0.171 1
S7 0.754 0.084 0.062 1
S8 0.313 0.656 0.140 1
O28 0.290 0.272 0.671 1
O29 0.141 0.438 0.532 1
Np3 0.011 0.142 0.861 1
Np4 0.511 0.358 0.639 1
O30 0.299 0.841 0.817 1
O31 0.799 0.659 0.683 1
Cs6 0.580 0.972 0.698 1
O32 0.034 0.208 0.680 1
O33 0.466 0.708 0.180 1
O34 0.790 0.228 0.829 1
O35 0.275 0.577 0.219 1
O36 0.188 0.049 0.943 1
Cs7 0.900 0.217 0.429 1
O37 0.641 0.062 0.968 1
Cs8 0.100 0.783 0.571 1
O38 0.807 0.921 0.488 1
O39 0.068 0.016 0.220 1
O40 0.312 0.549 0.443 1
# **Magnetic moment**: 1.00 μB/f.u.
# **Space-group type**: P2_1/c
# **Total DFT energy (no corrections)**: -19.841 eV per atom
# **ΔE_f (raw)**: -2.2273 eV/atom

***

(2)
# CsO (SCAN, single point on PBEsol structure)
data_CsO
_cell_length_a 4.290
_cell_length_b 5.342
_cell_length_c 5.342
_cell_angle_alpha 72.98
_cell_angle_beta 66.33
_cell_angle_gamma 66.33
_symmetry_space_group_name_H-M 'P 1'
_symmetry_Int_Tables_number 1
loop_
_symmetry_equiv_pos_as_xyz
'x,y,z'
loop_
_atom_site_label
_atom_site_fract_x
_atom_site_fract_y
_atom_site_fract_z
_atom_site_occupancy
Cs1 0.254 0.746 0.746 1
O1 0.000 0.383 0.617 1
O2 0.000 0.617 0.383 1
Cs2 0.746 0.254 0.254 1
# **Magnetic moment**: 0.00 μB/f.u.
# **Space-group type**: Immm
# **Total DFT energy (no corrections)**: -23.199 eV per atom
# **ΔE_f (raw)**: -1.1785 eV/atom

***

(3)
# Cs7O (SCAN, single point on PBEsol structure)
data_Cs7O
_cell_length_a 9.111
_cell_length_b 16.009
_cell_length_c 16.009
_cell_angle_alpha 120.00
_cell_angle_beta 90.00
_cell_angle_gamma 90.00
_symmetry_space_group_name_H-M 'P 1'
_symmetry_Int_Tables_number 1
loop_
_symmetry_equiv_pos_as_xyz
'x,y,z'
loop_
_atom_site_label
_atom_site_fract_x
_atom_site_fract_y
_atom_site_fract_z
_atom_site_occupancy
O1 0.000 0.830 0.415 1
Cs1 0.000 0.783 0.217 1
Cs2 0.796 0.667 0.333 1
Cs3 0.220 0.962 0.481 1
Cs4 0.220 0.519 0.038 1
Cs5 0.204 0.667 0.333 1
Cs6 0.000 0.783 0.567 1
Cs7 0.000 0.333 0.667 1
Cs8 0.500 0.884 0.768 1
Cs9 0.500 0.558 0.779 1
Cs10 0.220 0.519 0.481 1
Cs11 0.500 0.884 0.116 1
Cs12 0.500 0.221 0.442 1
Cs13 0.780 0.519 0.481 1
Cs14 0.780 0.962 0.481 1
O2 0.000 0.585 0.415 1
O3 0.000 0.585 0.170 1
Cs15 0.000 0.433 0.217 1
Cs16 0.000 0.764 0.882 1
Cs17 0.500 0.232 0.116 1
Cs18 0.500 0.221 0.779 1
Cs19 0.000 0.118 0.882 1
Cs20 0.000 0.118 0.236 1
Cs21 0.780 0.519 0.038 1
# **Magnetic moment**: 0.01 μB/f.u.
# **Space-group type**: P-6m2
# **Total DFT energy (no corrections)**: -34.316 eV per atom
# **ΔE_f (raw)**: -0.4533 eV/atom

***

(4)
# CsP2OsO (SCAN, single point on PBEsol structure)
data_CsP2OsO
_cell_length_a 4.949
_cell_length_b 4.949
_cell_length_c 3.824
_cell_angle_alpha 90.00
_cell_angle_beta 90.00
_cell_angle_gamma 90.00
_symmetry_space_group_name_H-M 'P 1'
_symmetry_Int_Tables_number 1
loop_
_symmetry_equiv_pos_as_xyz
'x,y,z'
loop_
_atom_site_label
_atom_site_fract_x
_atom_site_fract_y
_atom_site_fract_z
_atom_site_occupancy
P1 0.000 0.500 0.000 1
Cs1 0.500 0.500 0.500 1
Os1 0.000 0.000 0.000 1
P2 0.500 0.000 0.000 1
O1 0.000 0.000 0.500 1
# **Magnetic moment**: 0.00 μB/f.u.
# **Space-group type**: P4/mmm
# **Total DFT energy (no corrections)**: -27.097 eV per atom
# **ΔE_f (raw)**: 0.2472 eV/atom

***

(5)
# CsP3O (SCAN, single point on PBEsol structure)
data_CsP3O
_cell_length_a 7.084
_cell_length_b 7.084
_cell_length_c 7.084
_cell_angle_alpha 90.00
_cell_angle_beta 90.00
_cell_angle_gamma 90.00
_symmetry_space_group_name_H-M 'P 1'
_symmetry_Int_Tables_number 1
loop_
_symmetry_equiv_pos_as_xyz
'x,y,z'
loop_
_atom_site_label
_atom_site_fract_x
_atom_site_fract_y
_atom_site_fract_z
_atom_site_occupancy
P1 0.000 0.500 0.000 1
P2 0.000 0.000 0.500 1
Cs1 0.000 0.000 0.000 1
P3 0.500 0.000 0.000 1
O1 0.500 0.500 0.500 1
# **Magnetic moment**: 10.00 μB/f.u.
# **Space-group type**: Pm-3m
# **Total DFT energy (no corrections)**: -12.818 eV per atom
# **ΔE_f (raw)**: 2.2297 eV/atom

***

(6)
# CsPrP4O12 (SCAN, single point on PBEsol structure)
data_CsPrP4O12
_cell_length_a 7.176
_cell_length_b 8.844
_cell_length_c 9.246
_cell_angle_alpha 90.00
_cell_angle_beta 90.00
_cell_angle_gamma 99.34
_symmetry_space_group_name_H-M 'P 1'
_symmetry_Int_Tables_number 1
loop_
_symmetry_equiv_pos_as_xyz
'x,y,z'
loop_
_atom_site_label
_atom_site_fract_x
_atom_site_fract_y
_atom_site_fract_z
_atom_site_occupancy
P1 0.356 0.456 0.631 1
O1 0.275 0.612 0.663 1
O2 0.341 0.366 0.768 1
P2 0.060 0.374 0.395 1
Cs1 0.328 0.824 0.170 1
O3 0.213 0.361 0.519 1
O4 0.151 0.405 0.251 1
P3 0.917 0.070 0.278 1
O5 0.047 0.802 0.904 1
Cs2 0.672 0.176 0.670 1
O6 0.141 0.080 0.850 1
O7 0.859 0.920 0.350 1
O8 0.077 0.091 0.172 1
P4 0.693 0.227 0.076 1
O9 0.659 0.634 0.268 1
O10 0.725 0.111 0.204 1
P5 0.940 0.626 0.895 1
O11 0.953 0.198 0.404 1
P6 0.307 0.773 0.576 1
O12 0.923 0.471 0.450 1
O13 0.510 0.816 0.532 1
O14 0.725 0.388 0.163 1
O15 0.923 0.909 0.672 1
P7 0.083 0.930 0.778 1
O16 0.456 0.509 0.058 1
O17 0.787 0.639 0.019 1
O18 0.275 0.889 0.704 1
O19 0.544 0.491 0.558 1
O20 0.490 0.184 0.032 1
O21 0.077 0.529 0.950 1
Pr1 0.200 0.302 0.005 1
O22 0.155 0.768 0.465 1
P8 0.644 0.544 0.131 1
O23 0.845 0.232 0.965 1
Pr2 0.800 0.698 0.505 1
O24 0.849 0.595 0.751 1
# **Magnetic moment**: 0.00 μB/f.u.
# **Space-group type**: P2_1
# **Total DFT energy (no corrections)**: -13.699 eV per atom
# **ΔE to the lowest computed polymorph**: 6.4 meV/atom
# **ΔE_f (raw)**: -2.7260 eV/atom

***

(7)
# CsPrP4O12 (SCAN, single point on PBEsol structure)
data_CsPrP4O12
_cell_length_a 9.113
_cell_length_b 10.541
_cell_length_c 11.236
_cell_angle_alpha 106.47
_cell_angle_beta 90.00
_cell_angle_gamma 90.00
_symmetry_space_group_name_H-M 'P 1'
_symmetry_Int_Tables_number 1
loop_
_symmetry_equiv_pos_as_xyz
'x,y,z'
loop_
_atom_site_label
_atom_site_fract_x
_atom_site_fract_y
_atom_site_fract_z
_atom_site_occupancy
Pr1 0.774 0.999 0.683 1
P1 0.094 0.644 0.259 1
O1 0.052 0.667 0.402 1
Cs1 0.566 0.310 0.541 1
O2 0.598 0.828 0.703 1
O3 0.948 0.333 0.598 1
O4 0.656 0.315 0.014 1
O5 0.539 0.141 0.098 1
O6 0.795 0.569 0.407 1
P2 0.398 0.825 0.024 1
Cs2 0.434 0.690 0.459 1
P3 0.326 0.461 0.137 1
Cs3 0.934 0.810 0.041 1
O7 0.581 0.352 0.278 1
P4 0.906 0.356 0.741 1
O8 0.036 0.401 0.823 1
O9 0.244 0.940 0.512 1
O10 0.793 0.478 0.755 1
P5 0.174 0.961 0.637 1
O11 0.707 0.978 0.255 1
O12 0.464 0.538 0.171 1
O13 0.964 0.962 0.329 1
O14 0.464 0.901 0.323 1
O15 0.081 0.148 0.222 1
O16 0.036 0.038 0.671 1
O17 0.744 0.560 0.988 1
O18 0.536 0.462 0.829 1
P6 0.530 0.752 0.783 1
O19 0.821 0.239 0.754 1
P7 0.406 0.144 0.759 1
O20 0.659 0.685 0.843 1
O21 0.705 0.069 0.907 1
O22 0.098 0.672 0.797 1
Pr2 0.726 0.499 0.183 1
Pr3 0.274 0.501 0.817 1
O23 0.448 0.167 0.902 1
O24 0.159 0.815 0.657 1
P8 0.470 0.248 0.217 1
P9 0.826 0.039 0.363 1
O25 0.295 0.931 0.093 1
O26 0.844 0.815 0.514 1
O27 0.205 0.431 0.593 1
O28 0.964 0.599 0.177 1
O29 0.919 0.852 0.778 1
P10 0.970 0.252 0.283 1
P11 0.898 0.675 0.476 1
O30 0.341 0.315 0.157 1
P12 0.102 0.325 0.524 1
O31 0.321 0.261 0.746 1
O32 0.256 0.440 0.012 1
O33 0.461 0.859 0.902 1
O34 0.552 0.833 0.098 1
O35 0.039 0.359 0.402 1
O36 0.293 0.022 0.745 1
O37 0.207 0.522 0.245 1
O38 0.344 0.685 0.986 1
O39 0.902 0.328 0.203 1
O40 0.841 0.185 0.343 1
O41 0.679 0.739 0.254 1
P13 0.674 0.539 0.863 1
O42 0.179 0.761 0.246 1
O43 0.419 0.648 0.722 1
O44 0.756 0.060 0.488 1
P14 0.594 0.856 0.241 1
O45 0.402 0.172 0.297 1
O46 0.156 0.185 0.486 1
O47 0.536 0.099 0.677 1
Cs4 0.066 0.190 0.959 1
O48 0.961 0.641 0.598 1
P15 0.602 0.175 0.976 1
Pr4 0.226 0.001 0.317 1
P16 0.030 0.748 0.717 1
# **Magnetic moment**: 0.00 μB/f.u.
# **Space-group type**: P2_1/c
# **Total DFT energy (no corrections)**: -13.705 eV per atom
# **ΔE to the lowest computed polymorph**: 0.0 meV/atom
# **ΔE_f (raw)**: -2.7324 eV/atom

***

(8)
# CsSb2PO8 (SCAN, single point on PBEsol structure)
data_CsSb2PO8
_cell_length_a 7.200
_cell_length_b 9.843
_cell_length_c 12.612
_cell_angle_alpha 74.65
_cell_angle_beta 73.41
_cell_angle_gamma 68.55
_symmetry_space_group_name_H-M 'P 1'
_symmetry_Int_Tables_number 1
loop_
_symmetry_equiv_pos_as_xyz
'x,y,z'
loop_
_atom_site_label
_atom_site_fract_x
_atom_site_fract_y
_atom_site_fract_z
_atom_site_occupancy
O1 0.499 0.103 0.310 1
O2 0.172 0.466 0.772 1
O3 0.609 0.717 0.065 1
Cs1 0.113 0.701 0.073 1
O4 0.410 0.534 0.228 1
O5 0.828 0.534 0.228 1
O6 0.912 0.897 0.690 1
Sb1 0.543 0.681 0.731 1
P1 0.393 0.718 0.496 1
O7 0.462 0.326 0.103 1
O8 0.195 0.686 0.568 1
Sb2 0.451 0.334 0.763 1
O9 0.891 0.674 0.897 1
O10 0.109 0.326 0.103 1
O11 0.088 0.103 0.310 1
O12 0.512 0.383 0.592 1
O13 0.160 0.369 0.312 1
O14 0.501 0.897 0.690 1
O15 0.449 0.314 0.432 1
Sb3 0.627 0.018 0.729 1
Sb4 0.549 0.666 0.237 1
O16 0.754 0.269 0.222 1
Cs2 0.138 0.140 0.584 1
O17 0.840 0.631 0.688 1
P2 0.658 0.746 0.938 1
O18 0.337 0.885 0.440 1
O19 0.538 0.674 0.897 1
O20 0.405 0.085 0.106 1
O21 0.716 0.171 0.759 1
Sb5 0.955 0.319 0.269 1
O22 0.284 0.829 0.241 1
O23 0.488 0.617 0.408 1
O24 0.246 0.731 0.778 1
Cs3 0.862 0.860 0.416 1
O25 0.590 0.466 0.772 1
Cs4 0.887 0.299 0.927 1
Sb6 0.373 0.982 0.271 1
O26 0.663 0.115 0.560 1
O27 0.646 0.829 0.241 1
Sb7 0.457 0.319 0.269 1
O28 0.595 0.915 0.894 1
O29 0.805 0.314 0.432 1
Sb8 0.045 0.681 0.731 1
O30 0.551 0.686 0.568 1
P3 0.607 0.282 0.504 1
O31 0.391 0.283 0.935 1
P4 0.342 0.254 0.062 1
O32 0.354 0.171 0.759 1
# **Magnetic moment**: 0.00 μB/f.u.
# **Space-group type**: C2/m
# **Total DFT energy (no corrections)**: -16.329 eV per atom
# **ΔE_f (raw)**: -1.9470 eV/atom

***

(9)
# CsSmP4O12 (SCAN, single point on PBEsol structure)
data_CsSmP4O12
_cell_length_a 8.993
_cell_length_b 10.403
_cell_length_c 11.191
_cell_angle_alpha 106.49
_cell_angle_beta 90.00
_cell_angle_gamma 90.00
_symmetry_space_group_name_H-M 'P 1'
_symmetry_Int_Tables_number 1
loop_
_symmetry_equiv_pos_as_xyz
'x,y,z'
loop_
_atom_site_label
_atom_site_fract_x
_atom_site_fract_y
_atom_site_fract_z
_atom_site_occupancy
O1 0.043 0.138 0.596 1
P1 0.894 0.826 0.526 1
P2 0.907 0.146 0.258 1
P3 0.093 0.854 0.742 1
P4 0.826 0.460 0.633 1
O2 0.032 0.463 0.333 1
P5 0.106 0.174 0.474 1
O3 0.050 0.831 0.599 1
O4 0.097 0.830 0.204 1
O5 0.543 0.362 0.904 1
Cs1 0.065 0.314 0.041 1
O6 0.968 0.537 0.667 1
O7 0.793 0.022 0.243 1
O8 0.709 0.434 0.097 1
O9 0.403 0.330 0.704 1
O10 0.659 0.813 0.154 1
O11 0.457 0.638 0.096 1
O12 0.532 0.037 0.167 1
O13 0.550 0.669 0.901 1
O14 0.159 0.687 0.346 1
O15 0.540 0.400 0.324 1
P6 0.174 0.540 0.367 1
P7 0.407 0.354 0.242 1
P8 0.593 0.646 0.758 1
O16 0.903 0.170 0.796 1
O17 0.744 0.939 0.008 1
O18 0.163 0.315 0.516 1
O19 0.207 0.978 0.757 1
O20 0.678 0.765 0.744 1
O21 0.841 0.313 0.654 1
Sm1 0.774 0.502 0.317 1
O22 0.450 0.331 0.099 1
Cs2 0.935 0.686 0.959 1
P9 0.028 0.754 0.284 1
O23 0.083 0.353 0.776 1
O24 0.460 0.600 0.676 1
O25 0.960 0.900 0.824 1
O26 0.040 0.100 0.176 1
O27 0.756 0.439 0.508 1
Sm2 0.274 0.998 0.183 1
O28 0.417 0.853 0.276 1
O29 0.337 0.815 0.016 1
O30 0.583 0.147 0.724 1
Cs3 0.565 0.186 0.459 1
O31 0.917 0.647 0.224 1
O32 0.244 0.561 0.492 1
O33 0.597 0.670 0.296 1
O34 0.209 0.066 0.403 1
O35 0.178 0.735 0.756 1
Sm3 0.726 0.002 0.817 1
P10 0.972 0.246 0.716 1
Cs4 0.435 0.814 0.541 1
O36 0.341 0.187 0.846 1
P11 0.472 0.254 0.784 1
P12 0.606 0.326 0.026 1
O37 0.822 0.265 0.244 1
O38 0.791 0.934 0.597 1
O39 0.957 0.862 0.404 1
O40 0.291 0.566 0.903 1
O41 0.950 0.169 0.401 1
O42 0.322 0.235 0.256 1
Sm4 0.226 0.498 0.683 1
O43 0.293 0.478 0.257 1
O44 0.256 0.061 0.992 1
O45 0.707 0.522 0.743 1
P13 0.394 0.674 0.974 1
P14 0.326 0.040 0.867 1
O46 0.468 0.963 0.833 1
P15 0.528 0.746 0.216 1
O47 0.837 0.685 0.484 1
P16 0.674 0.960 0.133 1
O48 0.663 0.185 0.984 1
# **Magnetic moment**: 0.00 μB/f.u.
# **Space-group type**: P2_1/c
# **Total DFT energy (no corrections)**: -13.774 eV per atom
# **ΔE_f (raw)**: -2.7392 eV/atom

***

(10)
# CsTbP4O12 (SCAN, single point on PBEsol structure)
data_CsTbP4O12
_cell_length_a 7.018
_cell_length_b 8.710
_cell_length_c 9.058
_cell_angle_alpha 90.00
_cell_angle_beta 90.00
_cell_angle_gamma 99.91
_symmetry_space_group_name_H-M 'P 1'
_symmetry_Int_Tables_number 1
loop_
_symmetry_equiv_pos_as_xyz
'x,y,z'
loop_
_atom_site_label
_atom_site_fract_x
_atom_site_fract_y
_atom_site_fract_z
_atom_site_occupancy
P1 0.640 0.540 0.365 1
O1 0.719 0.381 0.330 1
O2 0.344 0.366 0.727 1
O3 0.054 0.802 0.599 1
O4 0.153 0.765 0.037 1
O5 0.919 0.905 0.834 1
O6 0.869 0.913 0.152 1
O7 0.081 0.095 0.334 1
Cs1 0.330 0.824 0.333 1
Tb1 0.802 0.698 0.998 1
O8 0.131 0.087 0.652 1
O9 0.656 0.634 0.227 1
P2 0.918 0.066 0.226 1
O10 0.281 0.619 0.830 1
P3 0.360 0.460 0.865 1
P4 0.313 0.777 0.926 1
O11 0.850 0.594 0.757 1
O12 0.150 0.406 0.257 1
O13 0.480 0.182 0.474 1
O14 0.847 0.235 0.537 1
O15 0.550 0.497 0.942 1
O16 0.450 0.503 0.442 1
O17 0.520 0.818 0.974 1
O18 0.946 0.198 0.099 1
O19 0.283 0.903 0.801 1
Cs2 0.670 0.176 0.833 1
O20 0.082 0.523 0.554 1
O21 0.211 0.365 0.981 1
P5 0.687 0.223 0.426 1
P6 0.943 0.622 0.609 1
O22 0.789 0.635 0.481 1
Tb2 0.198 0.302 0.498 1
P7 0.082 0.934 0.726 1
O23 0.918 0.477 0.054 1
O24 0.717 0.097 0.301 1
P8 0.057 0.378 0.109 1
# **Magnetic moment**: 0.00 μB/f.u.
# **Space-group type**: P2_1
# **Total DFT energy (no corrections)**: -13.895 eV per atom
# **ΔE_f (raw)**: -2.7316 eV/atom

***

Question: Which of these has the highest ΔE_f (raw)?
Answer: CsP3O

***

Question: What is the formula in the second record?
Answer: CsO